{"formula": "BaZr2Cu", "functional": "PBEsol", "state": "relaxed", "magmom_total_mub_per_cell": 0.00, "space_group": "No. 12", "polymorph_energy_ev_per_atom": 0.000, "formation_energy_ev_per_atom": 0.32, "lattice_angstrom": [[-3.0401, -0.1824, 1.1128], [1.7579, -2.3759, 4.4132], [1.2293, 6.2401, -0.3432]], "species": ["Ba", "Cu", "Zr", "Zr"], "frac_coords": [[0.0000, 0.5000, 0.0000], [0.5000, 0.0000, 0.0000], [0.7912, 0.7906, 0.5824], [0.2088, 0.2094, 0.4176]]}

***

{"formula": "PdCI2N", "functional": "PBEsol", "state": "relaxed", "magmom_total_mub_per_cell": 0.28, "space_group": "No. 123", "polymorph_energy_ev_per_atom": 0.000, "e_form_raw_mev_per_atom": 1045, "lattice_angstrom": [[-1.8541, -1.7748, 0.6226], [3.5273, -4.4675, -2.2314], [2.5527, -0.7350, 5.5067]], "species": ["I", "I", "C", "Pd", "N"], "frac_coords": [[0.0000, 0.0000, 0.5000], [0.0000, 0.5000, 0.0000], [0.0000, 0.0000, 0.0000], [0.5000, 0.5000, 0.5000], [0.5000, 0.0000, 0.0000]]}

***

{"formula": "YSi2As", "functional": "PBEsol", "state": "relaxed", "magmom_total_mub_per_cell": 0.00, "space_group": "No. 99", "e_form_raw_mev_per_atom": -346, "lattice_angstrom": [[-2.2043, -1.9231, -2.1287], [0.3585, -2.8482, 2.2018], [-4.4622, 1.7724, 3.0195]], "species": ["Y", "As", "Si", "Si"], "frac_coords": [[0.0000, 0.0000, 0.5070], [0.5000, 0.5000, 0.7746], [0.0000, 0.0000, 0.0120], [0.5000, 0.5000, 0.2064]]}

***

{"formula": "Ta4AlOs", "functional": "PBEsol", "state": "relaxed", "magmom_total_mub_per_cell": 0.00, "space_group": "No. 216", "formation_energy_ev_per_atom": 0.34, "lattice_angstrom": [[5.2688, 0.0000, 0.0000], [2.6344, 4.5629, 0.0000], [2.6344, 1.5210, 4.3020]], "species": ["Al", "Os", "Ta", "Ta", "Ta", "Ta"], "frac_coords": [[0.7500, 0.7500, 0.7500], [0.0000, 0.0000, 0.0000], [0.3753, 0.3753, 0.3753], [0.3753, 0.3753, 0.8740], [0.8740, 0.3753, 0.3753], [0.3753, 0.8740, 0.3753]]}

***

{"formula": "HfBeSb2As", "functional": "PBEsol", "state": "relaxed", "magmom_total_mub_per_cell": 0.00, "space_group": "No. 123", "e_form_raw_mev_per_atom": 802, "lattice_angstrom": [[5.0000, 0.0000, 0.0000], [0.0000, 5.4241, 0.0000], [0.0000, 0.0000, 5.4241]], "species": ["Sb", "Sb", "As", "Hf", "Be"], "frac_coords": [[0.0000, 0.0000, 0.5000], [0.0000, 0.5000, 0.0000], [0.5000, 0.0000, 0.0000], [0.0000, 0.0000, 0.0000], [0.5000, 0.5000, 0.5000]]}

***

{"formula": "BaTlBr2", "functional": "PBEsol", "state": "relaxed", "magmom_total_mub_per_cell": 0.00, "space_group": "No. 225", "polymorph_energy_ev_per_atom": 0.037, "e_form_raw_mev_per_atom": -1275, "lattice_angstrom": [[5.6064, 0.0000, 0.0000], [2.8032, 4.8552, 0.0000], [2.8032, 1.6184, 4.5776]], "species": ["Tl", "Ba", "Br", "Br"], "frac_coords": [[0.5000, 0.5000, 0.5000], [0.0000, 0.0000, 0.0000], [0.2500, 0.2500, 0.2500], [0.7500, 0.7500, 0.7500]]}

***

Number 1: energy -5.85 eV/atom. Number 2: energy -4.49 eV/atom. Number 3: energy -6.20 eV/atom. Number 4: energy -10.75 eV/atom. Number 5: energy -4.94 eV/atom. Number 6: energy -3.41 eV/atom.